Record 1
Computed, not measured: a geometry-optimized CaCrPd structure at the PBE-GGA level of DFT.

```
data_CaCrPd
_cell_length_a 5.642
_cell_length_b 5.642
_cell_length_c 6.962
_cell_angle_alpha 106.38
_cell_angle_beta 106.38
_cell_angle_gamma 32.56
_symmetry_space_group_name_H-M 'P 1'
_symmetry_Int_Tables_number 1
loop_
_symmetry_equiv_pos_as_xyz
'x,y,z'
loop_
_atom_site_label
_atom_site_fract_x
_atom_site_fract_y
_atom_site_fract_z
Ca1 0.019 0.019 0.266
Ca2 0.981 0.981 0.734
Cr1 0.294 0.294 0.942
Cr2 0.706 0.706 0.058
Pd1 0.304 0.304 0.367
Pd2 0.696 0.696 0.633
```

## Properties
The density comes out at 5.78 g cm⁻³. The energy relative to the elements is 0.038 eV/atom. The value obtained for the final energy is -16.7 eV/f.u.

=====

Record 2
Computed, not measured: a geometry-optimized BaTa2GaO structure at the PBE-GGA level of DFT.

```
data_BaTa2GaO
_cell_length_a 4.315
_cell_length_b 4.315
_cell_length_c 5.373
_cell_angle_alpha 90.00
_cell_angle_beta 90.00
_cell_angle_gamma 90.00
_symmetry_space_group_name_H-M 'P 1'
_symmetry_Int_Tables_number 1
loop_
_symmetry_equiv_pos_as_xyz
'x,y,z'
loop_
_atom_site_label
_atom_site_fract_x
_atom_site_fract_y
_atom_site_fract_z
Ba1 0.000 0.000 0.000
Ta1 0.000 0.500 0.500
Ta2 0.500 0.000 0.500
Ga1 0.500 0.500 0.000
O1 0.000 0.000 0.500
```

## Properties
The density comes out at 9.71 g cm⁻³. The value obtained for the final energy is -34.2 eV/f.u. The calculation puts the uncorrected formation energy at -0.118 eV per atom.

=====

Record 3
Computed, not measured: a geometry-optimized K2CuHg4 structure at the PBE-GGA level of DFT.

```
data_K2CuHg4
_cell_length_a 9.608
_cell_length_b 9.608
_cell_length_c 9.608
_cell_angle_alpha 148.53
_cell_angle_beta 148.53
_cell_angle_gamma 45.10
_symmetry_space_group_name_H-M 'P 1'
_symmetry_Int_Tables_number 1
loop_
_symmetry_equiv_pos_as_xyz
'x,y,z'
loop_
_atom_site_label
_atom_site_fract_x
_atom_site_fract_y
_atom_site_fract_z
K1 0.147 0.147 0.000
K2 0.853 0.853 0.000
Cu1 0.500 0.500 0.000
Hg1 0.000 0.500 0.500
Hg2 0.348 0.348 0.000
Hg3 0.500 0.000 0.500
Hg4 0.652 0.652 0.000
```

## Properties
The density comes out at 6.51 g cm⁻³. The energy relative to the elements is -0.106 eV/atom. The value obtained for the final energy is -8.2 eV/f.u.

=====

Record 4
Computed, not measured: a geometry-optimized MnZn2Cd structure at the PBE-GGA level of DFT.

```
data_MnZn2Cd
_cell_length_a 2.933
_cell_length_b 2.933
_cell_length_c 7.504
_cell_angle_alpha 90.00
_cell_angle_beta 90.00
_cell_angle_gamma 90.00
_symmetry_space_group_name_H-M 'P 1'
_symmetry_Int_Tables_number 1
loop_
_symmetry_equiv_pos_as_xyz
'x,y,z'
loop_
_atom_site_label
_atom_site_fract_x
_atom_site_fract_y
_atom_site_fract_z
Mn1 0.000 0.000 0.000
Zn1 0.000 0.000 0.449
Zn2 0.500 0.500 0.220
Cd1 0.500 0.500 0.730
```

## Properties
The density comes out at 7.67 g cm⁻³. The energy relative to the elements is 0.118 eV/atom. The value obtained for the final energy is -12.2 eV/f.u.

=====

Record 5
Computed, not measured: a geometry-optimized Pr12Pd3O5 structure at the PBE-GGA level of DFT.

```
data_Pr12Pd3O5
_cell_length_a 13.828
_cell_length_b 13.828
_cell_length_c 13.828
_cell_angle_alpha 109.47
_cell_angle_beta 109.47
_cell_angle_gamma 109.47
_symmetry_space_group_name_H-M 'P 1'
_symmetry_Int_Tables_number 1
loop_
_symmetry_equiv_pos_as_xyz
'x,y,z'
loop_
_atom_site_label
_atom_site_fract_x
_atom_site_fract_y
_atom_site_fract_z
Pr1 0.019 0.204 0.114
Pr2 0.019 0.315 0.905
Pr3 0.091 0.704 0.685
Pr4 0.091 0.886 0.405
Pr5 0.095 0.614 0.409
Pr6 0.095 0.981 0.685
Pr7 0.114 0.019 0.204
Pr8 0.114 0.595 0.909
Pr9 0.185 0.204 0.591
Pr10 0.185 0.481 0.595
Pr11 0.204 0.114 0.019
Pr12 0.204 0.591 0.185
Pr13 0.296 0.315 0.909
Pr14 0.296 0.481 0.386
Pr15 0.315 0.905 0.019
Pr16 0.315 0.909 0.296
Pr17 0.386 0.296 0.481
Pr18 0.386 0.591 0.905
Pr19 0.405 0.091 0.886
Pr20 0.405 0.815 0.519
Pr21 0.409 0.095 0.614
Pr22 0.409 0.815 0.796
Pr23 0.481 0.386 0.296
Pr24 0.481 0.595 0.185
Pr25 0.519 0.405 0.815
Pr26 0.519 0.614 0.704
Pr27 0.591 0.185 0.204
Pr28 0.591 0.905 0.386
Pr29 0.595 0.185 0.481
Pr30 0.595 0.909 0.114
Pr31 0.614 0.409 0.095
Pr32 0.614 0.704 0.519
Pr33 0.685 0.091 0.704
Pr34 0.685 0.095 0.981
Pr35 0.704 0.519 0.614
Pr36 0.704 0.685 0.091
Pr37 0.796 0.409 0.815
Pr38 0.796 0.886 0.981
Pr39 0.815 0.519 0.405
Pr40 0.815 0.796 0.409
Pr41 0.886 0.405 0.091
Pr42 0.886 0.981 0.796
Pr43 0.905 0.019 0.315
Pr44 0.905 0.386 0.591
Pr45 0.909 0.114 0.595
Pr46 0.909 0.296 0.315
Pr47 0.981 0.685 0.095
Pr48 0.981 0.796 0.886
Pd1 0.125 0.250 0.375
Pd2 0.125 0.375 0.750
Pd3 0.250 0.375 0.125
Pd4 0.250 0.875 0.625
Pd5 0.375 0.125 0.250
Pd6 0.375 0.750 0.125
Pd7 0.625 0.250 0.875
Pd8 0.625 0.875 0.750
Pd9 0.750 0.125 0.375
Pd10 0.750 0.625 0.875
Pd11 0.875 0.625 0.250
Pd12 0.875 0.750 0.625
O1 0.000 0.000 0.000
O2 0.000 0.000 0.500
O3 0.000 0.500 0.000
O4 0.000 0.500 0.500
O5 0.125 0.750 0.875
O6 0.125 0.875 0.250
O7 0.250 0.125 0.875
O8 0.250 0.625 0.375
O9 0.375 0.250 0.625
O10 0.375 0.625 0.750
O11 0.500 0.000 0.000
O12 0.500 0.000 0.500
O13 0.500 0.500 0.000
O14 0.500 0.500 0.500
O15 0.625 0.375 0.250
O16 0.625 0.750 0.375
O17 0.750 0.375 0.625
O18 0.750 0.875 0.125
O19 0.875 0.125 0.750
O20 0.875 0.250 0.125
```

## Properties
The density comes out at 6.82 g cm⁻³. The value obtained for the final energy is -127.6 eV/f.u. The calculation puts the uncorrected formation energy at -1.494 eV per atom.

=====

Record 6
Computed, not measured: a geometry-optimized La5Tb2Ho4 structure at the PBE-GGA level of DFT.

```
data_La5Tb2Ho4
_cell_length_a 9.103
_cell_length_b 9.103
_cell_length_c 11.748
_cell_angle_alpha 93.82
_cell_angle_beta 93.82
_cell_angle_gamma 22.62
_symmetry_space_group_name_H-M 'P 1'
_symmetry_Int_Tables_number 1
loop_
_symmetry_equiv_pos_as_xyz
'x,y,z'
loop_
_atom_site_label
_atom_site_fract_x
_atom_site_fract_y
_atom_site_fract_z
La1 0.000 0.000 0.000
La2 0.324 0.324 0.928
La3 0.403 0.403 0.465
La4 0.597 0.597 0.535
La5 0.676 0.676 0.072
Tb1 0.216 0.216 0.350
Tb2 0.784 0.784 0.650
Ho1 0.140 0.140 0.798
Ho2 0.465 0.465 0.738
Ho3 0.535 0.535 0.262
Ho4 0.860 0.860 0.202
```

## Properties
The density comes out at 7.43 g cm⁻³. The energy relative to the elements is 0.079 eV/atom. The value obtained for the final energy is -51.3 eV/f.u.

=====

Record 7
Computed, not measured: a geometry-optimized NaSnSF structure at the PBE-GGA level of DFT.

```
data_NaSnSF
_cell_length_a 14.940
_cell_length_b 14.940
_cell_length_c 14.940
_cell_angle_alpha 14.67
_cell_angle_beta 14.67
_cell_angle_gamma 14.67
_symmetry_space_group_name_H-M 'P 1'
_symmetry_Int_Tables_number 1
loop_
_symmetry_equiv_pos_as_xyz
'x,y,z'
loop_
_atom_site_label
_atom_site_fract_x
_atom_site_fract_y
_atom_site_fract_z
Na1 0.141 0.141 0.141
Na2 0.859 0.859 0.859
Sn1 0.297 0.297 0.297
Sn2 0.703 0.703 0.703
S1 0.402 0.402 0.402
S2 0.598 0.598 0.598
F1 0.194 0.194 0.194
F2 0.806 0.806 0.806
```

## Properties
The density comes out at 3.44 g cm⁻³. The value obtained for the final energy is -17.2 eV/f.u. The calculation puts the uncorrected formation energy at -1.472 eV per atom.

=====

Record 8
Computed, not measured: a geometry-optimized LiCoIr structure at the PBE-GGA level of DFT.

```
data_LiCoIr
_cell_length_a 6.991
_cell_length_b 6.766
_cell_length_c 2.617
_cell_angle_alpha 83.92
_cell_angle_beta 74.23
_cell_angle_gamma 21.85
_symmetry_space_group_name_H-M 'P 1'
_symmetry_Int_Tables_number 1
loop_
_symmetry_equiv_pos_as_xyz
'x,y,z'
loop_
_atom_site_label
_atom_site_fract_x
_atom_site_fract_y
_atom_site_fract_z
Li1 0.000 0.000 0.000
Co1 0.669 0.669 0.331
Ir1 0.330 0.330 0.670
```

## Properties
The density comes out at 10.59 g cm⁻³. The energy relative to the elements is 0.137 eV/atom. The value obtained for the final energy is -17.5 eV/f.u.